1.
VASP calculation (PBE) on B4S after structural relaxation.

a b c (Å): 3.720 3.720 3.720
angles (deg): 90.00 90.00 90.00
Sites, in units of the cell vectors:
B: 0.000 0.000 0.000
B: 0.000 0.500 0.500
B: 0.500 0.000 0.500
B: 0.500 0.500 0.000
S: 0.500 0.500 0.500

symmetry	Pm-3m (221)
ΔE_f (raw)	1118	kJ/mol of formula units

=====

2.
VASP calculation (PBE) on InIrI after structural relaxation.

a b c (Å): 3.945 3.798 10.696
angles (deg): 90.00 100.33 90.00
Sites, in units of the cell vectors:
In: 0.062 0.250 0.127
In: 0.938 0.750 0.873
Ir: 0.454 0.250 0.905
Ir: 0.546 0.750 0.095
I: 0.331 0.250 0.653
I: 0.669 0.750 0.347

symmetry	P2_1/m (11)
E above lowest polymorph	0	meV/atom
ΔE_f (raw)	-3	kJ/mol of formula units

=====

3.
VASP calculation (PBE) on K2CdBO4 after structural relaxation.

a b c (Å): 12.046 11.025 6.102
angles (deg): 84.16 65.58 30.26
Sites, in units of the cell vectors:
K: 0.057 0.057 0.693
K: 0.307 0.307 0.943
K: 0.693 0.693 0.057
K: 0.943 0.943 0.307
Cd: 0.125 0.125 0.125
Cd: 0.875 0.875 0.875
B: 0.375 0.375 0.375
B: 0.625 0.625 0.625
O: 0.091 0.580 0.496
O: 0.333 0.496 0.580
O: 0.420 0.909 0.667
O: 0.496 0.333 0.091
O: 0.504 0.667 0.909
O: 0.580 0.091 0.333
O: 0.667 0.504 0.420
O: 0.909 0.420 0.504

symmetry	Fddd (70)
ΔE_f (raw)	-1061	kJ/mol of formula units